[1]
Compound: Pu2AgOs
Source: Alexandria
Functional: PBE-GGA
Structure: relaxed

Calculated values
Raw total energy: -42.95 eV/cell
M_tot: 10.463 Bohr magnetons per cell

abc: 3.2291 3.2291 8.2973
angles: 90.00 90.00 90.00
Closest atoms and distances in Å follow each position.
Space group P4/mmm (No. 123)
Inequivalent atoms, fractional coordinates:
Pu  0.0000  0.0000  0.2171 [2 per cell]  4 Os 2.91, 4 Pu 3.23
Ag  0.5000  0.5000  0.5000 [1 per cell]  4 Ag 3.23, 8 Pu 3.27
Os  0.5000  0.5000  0.0000 [1 per cell]  8 Pu 2.91, 4 Os 3.23


[2]
Compound: Pu2AgOs
Source: Alexandria
Functional: PBE-GGA
Structure: relaxed

Calculated values
Raw total energy: -123.87 eV/cell
M_tot: 27.622 Bohr magnetons per cell

abc: 2.9064 2.9064 32.8554
angles: 90.00 90.00 120.00
Closest atoms and distances in Å follow each position.
Space group R-3m (No. 166, hexagonal axes)
Inequivalent atoms, fractional coordinates:
Pu  0.0000  0.0000  0.0931 [6 per cell]  6 Pu 2.91, 3 Os 2.94, 1 Ag 3.06
Ag  0.0000  0.0000  0.0000 [3 per cell]  6 Ag 2.91, 2 Pu 3.06
Os  0.0000  0.0000  0.5000 [3 per cell]  6 Os 2.91, 6 Pu 2.94


Repeat the second record exactly.
Compound: Pu2AgOs
Source: Alexandria
Functional: PBE-GGA
Structure: relaxed

Calculated values
Raw total energy: -123.87 eV/cell
M_tot: 27.622 Bohr magnetons per cell

abc: 2.9064 2.9064 32.8554
angles: 90.00 90.00 120.00
Closest atoms and distances in Å follow each position.
Space group R-3m (No. 166, hexagonal axes)
Inequivalent atoms, fractional coordinates:
Pu  0.0000  0.0000  0.0931 [6 per cell]  6 Pu 2.91, 3 Os 2.94, 1 Ag 3.06
Ag  0.0000  0.0000  0.0000 [3 per cell]  6 Ag 2.91, 2 Pu 3.06
Os  0.0000  0.0000  0.5000 [3 per cell]  6 Os 2.91, 6 Pu 2.94


> The lowest M_tot belongs to which entry?

number 1